A plane-wave DFT calculation with PBE-GGA was carried out for an optimized crystal structure of NaFe2Co2.

The structure belongs to space group P4/mbm (No. 127); the cell edges are 7.3706, 7.3706 and 2.4752 Å and the angles 90.00°, 90.00° and 90.00°. The asymmetric unit holds Na at (0.0000, 0.0000, 0.0000), Fe at (0.1458, 0.3542, 0.5000) and Co at (0.1452, 0.6452, 0.0000).

=====

A plane-wave DFT calculation with PBE-GGA was carried out for an optimized crystal structure of Tb3Y3Ho.

The structure belongs to space group R-3 (No. 148, hexagonal axes); the cell edges are 6.1942, 6.1942 and 42.5448 Å and the angles 90.00°, 90.00° and 120.00°. The asymmetric unit holds Tb at (0.0002, 0.3313, 0.1328), Y at (0.0002, 0.3332, 0.2672) and Ho at (0.0000, 0.0000, 0.3333).

=====

| no. | energy (eV per atom) | energy above the most stable polymorph in this dataset (meV/atom) |
| --- | --- | --- |
| 1 | -6.195 | 0 |
| 2 | -5.261 | 140 |